Record 1
VASP calculation (GGA-PBEsol) on a relaxed structure of YTa2Ru.

Summary:
Formation enthalpy at 0 K ... -30 meV/atom

Cell: 3.212 4.643 9.808 Å, 90.00 90.00 90.00°
Space group Immm (No. 71)
Asymmetric unit:
Y: 0.000 0.000 0.000 [2 per cell]
Ta: 0.000 0.500 0.231 [4 per cell]
Ru: 0.000 0.000 0.500 [2 per cell]

Record 2
VASP calculation (GGA-PBEsol) on a relaxed structure of YTa2Ru.

Summary:
Formation enthalpy at 0 K ... 287 meV/atom

Cell: 3.0263 3.0263 28.2417 Å, 90.00 90.00 120.00°
Space group R-3m (No. 166, hexagonal axes)
Asymmetric unit:
Y: 0.0000 0.0000 0.0000 [3 per cell]
Ta: 0.0000 0.0000 0.2391 [6 per cell]
Ru: 0.0000 0.0000 0.5000 [3 per cell]

Record 3
VASP calculation (GGA-PBEsol) on a relaxed structure of YTaRu2.

Summary:
Formation enthalpy at 0 K ... 39 meV/atom

Cell: 8.309 3.129 5.692 Å, 90.00 102.32 90.00°
Space group C2/m (No. 12)
Asymmetric unit:
Y: 0.000 0.000 0.000 [2 per cell]
Ta: 0.000 0.500 0.500 [2 per cell]
Ru: 0.238 0.000 0.702 [4 per cell]

Record 4
VASP calculation (GGA-PBEsol) on a relaxed structure of YTaRu2.

Summary:
Formation enthalpy at 0 K ... -385 meV/atom

Cell: 3.190 3.190 6.724 Å, 90.00 90.00 90.00°
Space group P4/mmm (No. 123)
Asymmetric unit:
Y: 0.000 0.000 0.000 [1 per cell]
Ta: 0.000 0.000 0.500 [1 per cell]
Ru: 0.500 0.500 0.279 [2 per cell]